1.
This record from the Alexandria database describes a relaxed structure of HfMg2In. The functional is PBE.

a b c (Å): 11.215 11.215 11.215
angles (deg): 16.06 16.06 16.06
Positions (direct):
Hf  0.000  0.000  0.000
Mg  0.090  0.090  0.090
Mg  0.910  0.910  0.910
In  0.500  0.500  0.500

Calculated density, g cm⁻³: 6.033
E_form, eV/atom: 0.27
V, Å³ per atom: 23.5
DFT total energy, eV/cell: -14.82
Space group: No. 166
Total moment, μB/cell: 0.00



2.
This record from the Alexandria database describes a relaxed structure of Hf2Mg3In3. The functional is PBE.

a b c (Å): 4.406 4.472 8.682
angles (deg): 90.00 90.00 90.00
Positions (direct):
Hf  0.000  0.000  0.247
Hf  0.000  0.000  0.753
Mg  0.000  0.500  0.500
Mg  0.500  0.500  0.255
Mg  0.500  0.500  0.745
In  0.000  0.500  0.000
In  0.500  0.000  0.000
In  0.500  0.000  0.500

Calculated density, g cm⁻³: 7.518
E_form, eV/atom: -0.12
V, Å³ per atom: 21.4
DFT total energy, eV/cell: -33.84
Space group: No. 47
Total moment, μB/cell: 0.00



3.
This record from the Alexandria database describes a relaxed structure of HfMgIn2. The functional is PBE.

a b c (Å): 5.859 5.859 5.859
angles (deg): 47.17 47.17 47.17
Positions (direct):
Hf  0.000  0.000  0.000
Mg  0.796  0.796  0.796
In  0.213  0.213  0.213
In  0.409  0.409  0.409

Calculated density, g cm⁻³: 7.261
E_form, eV/atom: 0.22
V, Å³ per atom: 24.7
DFT total energy, eV/cell: -16.14
Space group: No. 160
Total moment, μB/cell: 0.00



4.
This record from the Alexandria database describes a relaxed structure of Hf2Mg2In. The functional is PBE.

a b c (Å): 8.071 8.071 3.351
angles (deg): 90.00 90.00 90.00
Positions (direct):
Hf  0.177  0.323  0.000
Hf  0.323  0.823  0.000
Hf  0.677  0.177  0.000
Hf  0.823  0.677  0.000
Mg  0.120  0.620  0.500
Mg  0.380  0.120  0.500
Mg  0.620  0.880  0.500
Mg  0.880  0.380  0.500
In  0.000  0.000  0.500
In  0.500  0.500  0.500

Calculated density, g cm⁻³: 7.918
E_form, eV/atom: 0.26
V, Å³ per atom: 21.8
DFT total energy, eV/cell: -49.12
Space group: No. 127
Total moment, μB/cell: 0.00



5.
This record from the Alexandria database describes a relaxed structure of HfMgIn3. The functional is PBE.

a b c (Å): 5.575 5.575 5.575
angles (deg): 90.00 90.00 90.00
Positions (direct):
Hf  0.000  0.000  0.000
Mg  0.500  0.500  0.500
In  0.000  0.000  0.500
In  0.000  0.500  0.000
In  0.500  0.000  0.000

Calculated density, g cm⁻³: 5.245
E_form, eV/atom: 0.63
V, Å³ per atom: 34.7
DFT total energy, eV/cell: -16.61
Polymorph energy (0 for the lowest one), meV per atom: 663
Space group: No. 221
Total moment, μB/cell: 0.00



6.
This record from the Alexandria database describes a relaxed structure of HfMg5In6. The functional is PBE.

a b c (Å): 8.428 8.428 4.534
angles (deg): 105.27 105.27 108.59
Positions (direct):
Hf  0.000  0.000  0.000
Mg  0.168  0.832  0.500
Mg  0.336  0.664  0.000
Mg  0.500  0.500  0.500
Mg  0.664  0.336  0.000
Mg  0.832  0.168  0.500
In  0.079  0.412  0.244
In  0.243  0.243  0.741
In  0.412  0.079  0.244
In  0.588  0.921  0.756
In  0.757  0.757  0.259
In  0.921  0.588  0.756

Calculated density, g cm⁻³: 6.030
E_form, eV/atom: -0.08
V, Å³ per atom: 22.7
DFT total energy, eV/cell: -35.34
Space group: No. 12
Total moment, μB/cell: 0.00



7.
This record from the Alexandria database describes a relaxed structure of HfMg2In2. The functional is PBE.

a b c (Å): 8.262 8.262 3.293
angles (deg): 90.00 90.00 90.00
Positions (direct):
Hf  0.000  0.000  0.000
Hf  0.500  0.500  0.000
Mg  0.160  0.340  0.500
Mg  0.340  0.840  0.500
Mg  0.660  0.160  0.500
Mg  0.840  0.660  0.500
In  0.141  0.641  0.000
In  0.359  0.141  0.000
In  0.641  0.859  0.000
In  0.859  0.359  0.000

Calculated density, g cm⁻³: 6.748
E_form, eV/atom: 0.06
V, Å³ per atom: 22.5
DFT total energy, eV/cell: -36.64
Polymorph energy (0 for the lowest one), meV per atom: 0
Space group: No. 127
Total moment, μB/cell: 0.00



8.
This record from the Alexandria database describes a relaxed structure of Hf5MgIn5. The functional is PBE.

a b c (Å): 8.955 8.955 6.079
angles (deg): 109.80 109.80 34.36
Positions (direct):
Hf  0.000  0.000  0.000
Hf  0.324  0.324  0.325
Hf  0.382  0.382  0.882
Hf  0.618  0.618  0.118
Hf  0.676  0.676  0.675
Mg  0.000  0.000  0.500
In  0.165  0.165  0.421
In  0.165  0.165  0.909
In  0.500  0.500  0.500
In  0.835  0.835  0.091
In  0.835  0.835  0.579

Calculated density, g cm⁻³: 9.623
E_form, eV/atom: 0.25
V, Å³ per atom: 23.4
DFT total energy, eV/cell: -62.28
Space group: No. 12
Total moment, μB/cell: 0.00



9.
This record from the Alexandria database describes a relaxed structure of HfMg2In4. The functional is PBE.

a b c (Å): 6.140 6.140 4.573
angles (deg): 90.00 90.00 93.80
Positions (direct):
Hf  0.000  0.000  0.000
Mg  0.287  0.287  0.500
Mg  0.713  0.713  0.500
In  0.000  0.500  0.000
In  0.224  0.776  0.500
In  0.500  0.000  0.000
In  0.776  0.224  0.500

Calculated density, g cm⁻³: 6.625
E_form, eV/atom: -0.05
V, Å³ per atom: 24.6
DFT total energy, eV/cell: -24.46
Space group: No. 65
Total moment, μB/cell: 0.00



10.
This record from the Alexandria database describes a relaxed structure of HfMgIn3. The functional is PBE.

a b c (Å): 5.943 5.964 9.158
angles (deg): 71.78 71.55 60.79
Positions (direct):
Hf  0.116  0.115  0.092
Hf  0.884  0.885  0.908
Mg  0.344  0.339  0.496
Mg  0.656  0.661  0.504
In  0.086  0.578  0.213
In  0.406  0.406  0.827
In  0.423  0.913  0.788
In  0.577  0.087  0.212
In  0.594  0.594  0.173
In  0.914  0.422  0.787

Calculated density, g cm⁻³: 6.890
E_form, eV/atom: 0.11
V, Å³ per atom: 26.4
DFT total energy, eV/cell: -38.47
Polymorph energy (0 for the lowest one), meV per atom: 139
Space group: No. 2
Total moment, μB/cell: 0.00



11.
This record from the Alexandria database describes a relaxed structure of Hf2MgIn4. The functional is PBE.

a b c (Å): 8.119 8.119 7.113
angles (deg): 114.98 114.98 23.44
Positions (direct):
Hf  0.225  0.225  0.146
Hf  0.775  0.775  0.854
Mg  0.000  0.000  0.000
In  0.086  0.086  0.699
In  0.362  0.362  0.615
In  0.638  0.638  0.385
In  0.914  0.914  0.301

Calculated density, g cm⁻³: 8.296
E_form, eV/atom: 0.03
V, Å³ per atom: 24.0
DFT total energy, eV/cell: -32.22
Polymorph energy (0 for the lowest one), meV per atom: 0
Space group: No. 12
Total moment, μB/cell: 0.00



12.
This record from the Alexandria database describes a relaxed structure of HfMgIn3. The functional is PBE.

a b c (Å): 5.187 5.187 5.187
angles (deg): 90.00 90.00 90.00
Positions (direct):
Hf  0.000  0.000  0.000
Mg  0.500  0.500  0.500
In  0.000  0.500  0.500
In  0.500  0.000  0.500
In  0.500  0.500  0.000

Calculated density, g cm⁻³: 6.513
E_form, eV/atom: 0.81
V, Å³ per atom: 27.9
DFT total energy, eV/cell: -15.70
Polymorph energy (0 for the lowest one), meV per atom: 847
Space group: No. 221
Total moment, μB/cell: 0.00